PBE-GGA LaRe2Ru, optimized geometry; calculated volume = 18.98 Å³ per atom; formation enthalpy at 0 K = 0.46 eV/atom; VASP energy = -9.317 eV per atom
1.0
-0.0145 -3.7692 0.3881
2.7176 0.0617 0.7012
0.9611 0.7772 7.5838
Ru Re La
1 2 1
Direct
0.5000 0.2500 0.2500
0.0000 0.9299 0.0714
0.0000 0.5701 0.4286
0.5000 0.7500 0.7500